1.
CsCuTePt, relaxed, DFT PBE; E above lowest polymorph = 0.000 eV/atom
1.0
0.0000 3.6689 3.6689
3.6689 0.0000 3.6689
3.6689 3.6689 0.0000
Cs Cu Te Pt
1 1 1 1
Cartesian
0.0000 0.0000 0.0000 Cs
5.5034 5.5034 5.5034 Cu
3.6689 3.6689 3.6689 Te
1.8345 1.8345 1.8345 Pt


2.
CsCuPtW, relaxed, DFT PBE; E above lowest polymorph = 0.172 eV/atom
1.0
0.0000 3.5008 3.5008
3.5008 0.0000 3.5008
3.5008 3.5008 0.0000
Cs Cu Pt W
1 1 1 1
Cartesian
0.0000 0.0000 0.0000 Cs
5.2511 5.2511 5.2511 Cu
1.7504 1.7504 1.7504 Pt
3.5008 3.5008 3.5008 W


3.
CsCuPtW, relaxed, DFT PBE; E above lowest polymorph = 0.330 eV/atom
1.0
0.0000 3.3511 3.3511
3.3511 0.0000 3.3511
3.3511 3.3511 0.0000
Cs Cu Pt W
1 1 1 1
Cartesian
0.0000 0.0000 0.0000 Cs
3.3511 3.3511 3.3511 Cu
5.0266 5.0266 5.0266 Pt
1.6755 1.6755 1.6755 W


4.
CsCuPtW, relaxed, DFT PBE; E above lowest polymorph = 0.000 eV/atom
1.0
0.0000 3.3383 3.3383
3.3383 0.0000 3.3383
3.3383 3.3383 0.0000
Cs Cu Pt W
1 1 1 1
Cartesian
0.0000 0.0000 0.0000 Cs
1.6691 1.6691 1.6691 Cu
3.3383 3.3383 3.3383 Pt
5.0074 5.0074 5.0074 W


5.
CsPuCu, relaxed, DFT PBE; E above lowest polymorph = 1.066 eV/atom
1.0
0.0000 3.4788 3.4788
3.4788 0.0000 3.4788
3.4788 3.4788 0.0000
Cs Pu Cu
1 1 1
Cartesian
0.0000 0.0000 0.0000 Cs
5.2182 5.2182 5.2182 Pu
1.7394 1.7394 1.7394 Cu


6.
CsPuCu, relaxed, DFT PBE; E above lowest polymorph = 0.000 eV/atom
1.0
0.0000 4.1742 4.1742
4.1742 0.0000 4.1742
4.1742 4.1742 0.0000
Cs Pu Cu
1 1 1
Cartesian
0.0000 0.0000 0.0000 Cs
6.2614 6.2614 6.2614 Pu
4.1742 4.1742 4.1742 Cu


7.
Cs2RbCu7, relaxed, DFT PBE; energy = -2.560 eV/atom
1.0
2.8714 -6.0099 0.0000
2.8714 6.0099 0.0000
0.0000 0.0000 6.6944
Cs Rb Cu
2 1 7
Cartesian
2.8714 4.1186 0.0000 Cs
2.8714 -4.1186 0.0000 Cs
0.0000 0.0000 3.3472 Rb
1.4357 3.0049 3.3472 Cu
2.8714 1.2618 2.1287 Cu
2.8714 1.2618 4.5657 Cu
1.4357 -3.0049 3.3472 Cu
2.8714 0.0000 0.0000 Cu
2.8714 -1.2618 2.1287 Cu
2.8714 -1.2618 4.5657 Cu


8.
CsRbCu, relaxed, DFT PBE; E above lowest polymorph = 0.000 eV/atom
1.0
0.0000 4.3880 4.3880
4.3880 0.0000 4.3880
4.3880 4.3880 0.0000
Cs Rb Cu
1 1 1
Cartesian
0.0000 0.0000 0.0000 Cs
4.3880 4.3880 4.3880 Rb
2.1940 2.1940 2.1940 Cu


9.
CsRb2Cu7, relaxed, DFT PBE; energy = -2.577 eV/atom
1.0
2.8488 -6.0061 0.0000
2.8488 6.0061 0.0000
0.0000 0.0000 6.6303
Cs Rb Cu
1 2 7
Cartesian
0.0000 0.0000 0.0000 Cs
2.8488 4.0688 3.3151 Rb
2.8488 -4.0688 3.3151 Rb
1.4244 3.0030 0.0000 Cu
2.8488 1.2853 1.2263 Cu
2.8488 1.2853 5.4040 Cu
1.4244 -3.0030 0.0000 Cu
2.8488 0.0000 3.3151 Cu
2.8488 -1.2853 1.2263 Cu
2.8488 -1.2853 5.4040 Cu


10.
CsRbCu, relaxed, DFT PBE; E above lowest polymorph = 0.223 eV/atom
1.0
0.0000 4.4368 4.4368
4.4368 0.0000 4.4368
4.4368 4.4368 0.0000
Cs Rb Cu
1 1 1
Cartesian
0.0000 0.0000 0.0000 Cs
2.2184 2.2184 2.2184 Rb
6.6552 6.6552 6.6552 Cu


11.
Cs4RbCuSb2, relaxed, DFT PBE; energy = -2.369 eV/atom
1.0
3.2431 1.8724 9.9344
-3.2431 1.8724 9.9344
0.0000 -3.7448 9.9344
Cs Rb Cu Sb
4 1 1 2
Cartesian
0.0000 0.0000 4.1544 Cs
0.0000 0.0000 8.4635 Cs
0.0000 0.0000 21.3396 Cs
0.0000 0.0000 25.6486 Cs
0.0000 0.0000 0.0000 Rb
0.0000 0.0000 14.9015 Cu
0.0000 0.0000 12.3683 Sb
0.0000 0.0000 17.4347 Sb


12.
Cs3RbCu2Sb2, relaxed, DFT PBE; energy = -2.702 eV/atom
1.0
6.9664 0.0000 0.0000
0.0000 6.8969 0.0000
-2.5138 0.0000 6.7050
Cs Rb Cu Sb
3 1 2 2
Cartesian
0.0000 0.0000 0.0000 Cs
-0.7824 3.4484 2.2163 Cs
3.0307 3.4484 4.4171 Cs
0.6067 0.0000 4.5178 Rb
3.1050 1.7293 1.0756 Cu
3.1050 5.1676 1.0756 Cu
-0.4123 3.4484 6.2203 Sb
4.0153 0.0000 2.6840 Sb